No. 1
VASP calculation (PBE-GGA) on a relaxed Tm2Si2SnRh5 crystal.

Unit cell a=3.5510 b=9.6916 c=9.6916 alpha=90.00 beta=90.00 gamma=90.00
Closest atoms and distances in Å follow each position.
Sites, in units of the cell vectors:
Tm1 0.0000 0.8244 0.6756  3 Si 2.78-2.93, 6 Rh 2.99-3.06
Rh1 0.5000 0.0701 0.7838  2 Si 2.42
Rh2 0.5000 0.0000 0.5000  4 Si 2.43
Sn1 0.0000 0.5000 0.5000  8 Rh 2.83
Si1 0.0000 0.3784 0.1216  6 Rh 2.42-2.43
Rh3 0.5000 0.2838 0.5701  2 Si 2.42
Si2 0.0000 0.6216 0.8784  6 Rh 2.42-2.43
Rh4 0.5000 0.9299 0.2162  2 Si 2.42
Rh5 0.5000 0.7162 0.4299  2 Si 2.42
Tm2 0.0000 0.1756 0.3244  3 Si 2.78-2.93, 6 Rh 2.99-3.06
Sn2 0.0000 0.0000 0.0000  8 Rh 2.83
Rh6 0.5000 0.2162 0.0701  2 Si 2.42
Rh7 0.5000 0.5701 0.7162  2 Si 2.42
Si3 0.0000 0.8784 0.3784  6 Rh 2.42-2.43
Si4 0.0000 0.1216 0.6216  6 Rh 2.42-2.43
Rh8 0.5000 0.7838 0.9299  2 Si 2.42
Tm3 0.0000 0.6756 0.1756  3 Si 2.78-2.93, 6 Rh 2.99-3.06
Rh9 0.5000 0.4299 0.2838  2 Si 2.42
Rh10 0.5000 0.5000 0.0000  4 Si 2.43
Tm4 0.0000 0.3244 0.8244  3 Si 2.78-2.93, 6 Rh 2.99-3.06

Computed properties:
Magnetic moment (μB per formula unit): 0.00
Calculated total energy (eV/atom): -7.038
Space-group type: No. 127
Crystal system: tetragonal
Raw formation energy (eV/atom): -0.98

***

No. 2
VASP calculation (PBE-GGA) on a relaxed ZnSi2Sn2Rh5 crystal.

Unit cell a=3.4004 b=9.6337 c=9.6337 alpha=90.00 beta=90.00 gamma=90.00
Closest atoms and distances in Å follow each position.
Sites, in units of the cell vectors:
Sn1 0.0000 0.8273 0.6727  3 Si 2.70-2.93, 6 Rh 2.90-2.96
Rh1 0.5000 0.5782 0.7058  2 Si 2.38
Si1 0.0000 0.8712 0.3712  6 Rh 2.38-2.44
Rh2 0.5000 0.5000 0.0000  4 Si 2.44
Sn2 0.0000 0.6727 0.1727  3 Si 2.70-2.93, 6 Rh 2.90-2.96
Sn3 0.0000 0.1727 0.3273  3 Si 2.70-2.93, 6 Rh 2.90-2.96
Zn1 0.0000 0.5000 0.5000  8 Rh 2.72
Si2 0.0000 0.1288 0.6288  6 Rh 2.38-2.44
Rh3 0.5000 0.0782 0.7942  2 Si 2.38
Rh4 0.5000 0.7942 0.9218  2 Si 2.38
Rh5 0.5000 0.0000 0.5000  4 Si 2.44
Rh6 0.5000 0.2058 0.0782  2 Si 2.38
Zn2 0.0000 0.0000 0.0000  8 Rh 2.72
Si3 0.0000 0.6288 0.8712  6 Rh 2.38-2.44
Rh7 0.5000 0.2942 0.5782  2 Si 2.38
Si4 0.0000 0.3712 0.1288  6 Rh 2.38-2.44
Rh8 0.5000 0.9218 0.2058  2 Si 2.38
Sn4 0.0000 0.3273 0.8273  3 Si 2.70-2.93, 6 Rh 2.90-2.96
Rh9 0.5000 0.4218 0.2942  2 Si 2.38
Rh10 0.5000 0.7058 0.4218  2 Si 2.38

Computed properties:
Magnetic moment (μB per formula unit): 0.00
Calculated total energy (eV/atom): -6.094
Space-group type: No. 127
Crystal system: tetragonal
Raw formation energy (eV/atom): -0.41

***

No. 3
VASP calculation (PBE-GGA) on a relaxed SrSi4Rh4 crystal.

Unit cell a=5.9919 b=5.9919 c=8.1328 alpha=90.00 beta=90.00 gamma=90.00
Closest atoms and distances in Å follow each position.
Sites, in units of the cell vectors:
Sr1 0.5000 0.5000 0.5000  12 Si 3.23-3.51, 12 Rh 3.41-3.48
Rh1 0.7388 0.0000 0.6272  5 Si 2.41-2.49
Rh2 0.7612 0.5000 0.8728  5 Si 2.41-2.49
Rh3 0.5000 0.2388 0.1272  5 Si 2.41-2.49
Rh4 0.2388 0.5000 0.8728  5 Si 2.41-2.49
Si1 0.0000 0.3000 0.6707  1 Si 2.40, 5 Rh 2.41-2.49
Rh5 0.2612 0.0000 0.6272  5 Si 2.41-2.49
Sr2 0.0000 0.0000 0.0000  12 Si 3.23-3.51, 12 Rh 3.41-3.48
Si2 0.8000 0.5000 0.1707  1 Si 2.40, 5 Rh 2.41-2.49
Rh6 0.0000 0.7388 0.3728  5 Si 2.41-2.49
Rh7 0.5000 0.7612 0.1272  5 Si 2.41-2.49
Si3 0.0000 0.7000 0.6707  1 Si 2.40, 5 Rh 2.41-2.49
Rh8 0.0000 0.2612 0.3728  5 Si 2.41-2.49
Si4 0.5000 0.2000 0.8293  1 Si 2.40, 5 Rh 2.41-2.49
Si5 0.5000 0.8000 0.8293  1 Si 2.40, 5 Rh 2.41-2.49
Si6 0.7000 0.0000 0.3293  1 Si 2.40, 5 Rh 2.41-2.49
Si7 0.2000 0.5000 0.1707  1 Si 2.40, 5 Rh 2.41-2.49
Si8 0.3000 0.0000 0.3293  1 Si 2.40, 5 Rh 2.41-2.49

Computed properties:
Magnetic moment (μB per formula unit): 0.00
Calculated total energy (eV/atom): -6.652
Space-group type: No. 137
Crystal system: tetragonal
Raw formation energy (eV/atom): -0.79

***

No. 4
VASP calculation (PBE-GGA) on a relaxed Sr3Si2Rh3 crystal.

Unit cell a=6.0961 b=8.0419 c=14.6514 alpha=90.00 beta=90.00 gamma=90.00
Closest atoms and distances in Å follow each position.
Sites, in units of the cell vectors:
Sr1 0.1345 0.4771 0.3903  4 Rh 3.01-3.31, 3 Si 3.21-3.34
Rh1 0.3854 0.6521 0.5386  3 Si 2.42-2.46
Rh2 0.3854 0.6521 0.9614  3 Si 2.42-2.46
Sr2 0.3655 0.9771 0.1097  4 Rh 3.01-3.31, 3 Si 3.21-3.34
Sr3 0.8655 0.5229 0.6097  4 Rh 3.01-3.31, 3 Si 3.21-3.34
Si1 0.6276 0.6329 0.4081  4 Rh 2.42-2.52
Sr4 0.5964 0.3287 0.2500  4 Rh 2.88-3.10
Si2 0.8724 0.1329 0.4081  4 Rh 2.42-2.52
Sr5 0.6345 0.0229 0.6097  4 Rh 3.01-3.31, 3 Si 3.21-3.34
Rh3 0.0275 0.1740 0.2500  2 Si 2.52
Sr6 0.9036 0.8287 0.2500  4 Rh 2.88-3.10
Rh4 0.1146 0.1521 0.5386  3 Si 2.42-2.46
Si3 0.1276 0.8671 0.5919  4 Rh 2.42-2.52
Si4 0.3724 0.3671 0.5919  4 Rh 2.42-2.52
Rh5 0.1146 0.1521 0.9614  3 Si 2.42-2.46
Si5 0.6276 0.6329 0.0919  4 Rh 2.42-2.52
Si6 0.1276 0.8671 0.9081  4 Rh 2.42-2.52
Sr7 0.6345 0.0229 0.8903  4 Rh 3.01-3.31, 3 Si 3.21-3.34
Rh6 0.5275 0.3260 0.7500  2 Si 2.52
Rh7 0.9725 0.8260 0.7500  2 Si 2.52
Sr8 0.3655 0.9771 0.3903  4 Rh 3.01-3.31, 3 Si 3.21-3.34
Si7 0.8724 0.1329 0.0919  4 Rh 2.42-2.52
Rh8 0.8854 0.8479 0.4614  3 Si 2.42-2.46
Rh9 0.4725 0.6740 0.2500  2 Si 2.52
Rh10 0.6146 0.3479 0.0386  3 Si 2.42-2.46
Sr9 0.4036 0.6713 0.7500  4 Rh 2.88-3.10
Rh11 0.6146 0.3479 0.4614  3 Si 2.42-2.46
Sr10 0.1345 0.4771 0.1097  4 Rh 3.01-3.31, 3 Si 3.21-3.34
Sr11 0.0964 0.1713 0.7500  4 Rh 2.88-3.10
Si8 0.3724 0.3671 0.9081  4 Rh 2.42-2.52
Rh12 0.8854 0.8479 0.0386  3 Si 2.42-2.46
Sr12 0.8655 0.5229 0.8903  4 Rh 3.01-3.31, 3 Si 3.21-3.34

Computed properties:
Magnetic moment (μB per formula unit): 0.00
Calculated total energy (eV/atom): -5.388
Space-group type: No. 62
Crystal system: orthorhombic
Raw formation energy (eV/atom): -0.64

***

No. 5
VASP calculation (PBE-GGA) on a relaxed SrSi3Rh crystal.

Unit cell a=5.2228 b=5.2228 c=5.2228 alpha=90.00 beta=90.00 gamma=90.00
Closest atoms and distances in Å follow each position.
Sites, in units of the cell vectors:
Sr1 0.0000 0.0000 0.0000  6 Si 2.61
Rh1 0.5000 0.5000 0.5000  12 Si 3.69
Si1 0.0000 0.0000 0.5000  2 Sr 2.61
Si2 0.5000 0.0000 0.0000  2 Sr 2.61
Si3 0.0000 0.5000 0.0000  2 Sr 2.61

Computed properties:
Magnetic moment (μB per formula unit): 0.00
Calculated total energy (eV/atom): -2.895
Space-group type: No. 221
Crystal system: cubic
Raw formation energy (eV/atom): 2.17

***

No. 6
VASP calculation (PBE-GGA) on a relaxed Sr2Si6Rh9 crystal.

Unit cell a=5.8286 b=5.8286 c=10.2837 alpha=90.00 beta=90.00 gamma=120.00
Closest atoms and distances in Å follow each position.
Sites, in units of the cell vectors:
Si1 0.3333 0.6667 0.6682  6 Rh 2.41-2.42
Rh1 0.5000 0.0000 0.8369  4 Si 2.38-2.42
Rh2 0.5000 0.5000 0.5000  4 Si 2.41
Rh3 0.5000 0.5000 0.8369  4 Si 2.38-2.42
Si2 0.6667 0.3333 0.0000  6 Rh 2.38
Rh4 0.5000 0.0000 0.1631  4 Si 2.38-2.42
Si3 0.3333 0.6667 0.3318  6 Rh 2.41-2.42
Rh5 0.5000 0.5000 0.1631  4 Si 2.38-2.42
Rh6 0.5000 0.0000 0.5000  4 Si 2.41
Si4 0.3333 0.6667 0.0000  6 Rh 2.38
Sr1 0.0000 0.0000 0.6957  12 Rh 3.26-3.54, 6 Si 3.38
Rh7 0.0000 0.5000 0.8369  4 Si 2.38-2.42
Si5 0.6667 0.3333 0.6682  6 Rh 2.41-2.42
Sr2 0.0000 0.0000 0.3043  12 Rh 3.26-3.54, 6 Si 3.38
Si6 0.6667 0.3333 0.3318  6 Rh 2.41-2.42
Rh8 0.0000 0.5000 0.1631  4 Si 2.38-2.42
Rh9 0.0000 0.5000 0.5000  4 Si 2.41

Computed properties:
Magnetic moment (μB per formula unit): 0.00
Calculated total energy (eV/atom): -6.735
Space-group type: No. 191
Crystal system: hexagonal
Raw formation energy (eV/atom): -0.73

***

No. 7
VASP calculation (PBE-GGA) on a relaxed SrSiRh2 crystal.

Unit cell a=4.4230 b=4.4230 c=3.5313 alpha=90.00 beta=90.00 gamma=90.00
Closest atoms and distances in Å follow each position.
Sites, in units of the cell vectors:
Sr1 0.0000 0.5000 0.5000  8 Rh 2.83, 4 Si 3.13
Si1 0.5000 0.0000 0.5000  8 Rh 2.83, 4 Sr 3.13
Rh1 0.0000 0.0000 0.0000  4 Si 2.83, 4 Sr 2.83, 4 Rh 3.13
Rh2 0.5000 0.5000 0.0000  4 Sr 2.83, 4 Si 2.83, 4 Rh 3.13

Computed properties:
Magnetic moment (μB per formula unit): 0.00
Calculated total energy (eV/atom): -5.577
Space-group type: No. 123
Crystal system: tetragonal
Raw formation energy (eV/atom): -0.13

***

No. 8
VASP calculation (PBE-GGA) on a relaxed Sr2SiRh crystal.

Unit cell a=4.1667 b=4.8646 c=6.0420 alpha=66.24 beta=90.00 gamma=90.00
Closest atoms and distances in Å follow each position.
Sites, in units of the cell vectors:
Sr1 0.0000 0.9811 0.9128  3 Rh 3.24-3.39, 4 Si 3.37
Si1 0.5000 0.5763 0.7224  2 Rh 2.35
Sr2 0.5000 0.2683 0.3384  3 Si 3.23-3.41, 4 Rh 3.37
Rh1 0.0000 0.6742 0.5263  2 Si 2.35

Computed properties:
Magnetic moment (μB per formula unit): 0.00
Calculated total energy (eV/atom): -4.546
Space-group type: No. 38
Crystal system: orthorhombic
Raw formation energy (eV/atom): -0.51

***

No. 9
VASP calculation (PBE-GGA) on a relaxed SrSiRh crystal.

Unit cell a=4.0775 b=4.0775 c=4.8236 alpha=90.00 beta=90.00 gamma=120.00
Closest atoms and distances in Å follow each position.
Sites, in units of the cell vectors:
Rh1 0.0000 0.0000 0.1668  3 Si 2.35
Si1 0.6667 0.3333 0.1664  3 Rh 2.35
Sr1 0.3333 0.6667 0.6667  6 Si 3.37, 6 Rh 3.37

Computed properties:
Magnetic moment (μB per formula unit): 0.00
Calculated total energy (eV/atom): -5.488
Space-group type: No. 187
Crystal system: hexagonal
Raw formation energy (eV/atom): -0.67

***

No. 10
VASP calculation (PBE-GGA) on a relaxed SrSiRh2 crystal.

Unit cell a=4.1407 b=4.1407 c=5.9958 alpha=69.81 beta=69.81 gamma=60.00
Closest atoms and distances in Å follow each position.
Sites, in units of the cell vectors:
Si1 0.7500 0.7500 0.7500  6 Rh 2.47
Rh1 0.0467 0.0467 0.8599  3 Si 2.47, 3 Rh 2.68
Sr1 0.2500 0.2500 0.2500  8 Rh 3.21-3.35
Rh2 0.4533 0.4533 0.6401  3 Si 2.47, 3 Rh 2.68

Computed properties:
Magnetic moment (μB per formula unit): 0.00
Calculated total energy (eV/atom): -6.072
Space-group type: No. 166
Crystal system: trigonal
Raw formation energy (eV/atom): -0.62

***

No. 11
VASP calculation (PBE-GGA) on a relaxed SrSiRh2 crystal.

Unit cell a=4.6922 b=4.6922 c=4.6922 alpha=60.00 beta=60.00 gamma=60.00
Closest atoms and distances in Å follow each position.
Sites, in units of the cell vectors:
Rh1 0.0000 0.0000 0.0000  4 Sr 2.87, 4 Rh 2.87
Rh2 0.2500 0.2500 0.2500  4 Rh 2.87, 4 Si 2.87
Sr1 0.7500 0.7500 0.7500  4 Rh 2.87, 4 Si 2.87
Si1 0.5000 0.5000 0.5000  4 Rh 2.87, 4 Sr 2.87

Computed properties:
Magnetic moment (μB per formula unit): 0.01
Calculated total energy (eV/atom): -5.230
Space-group type: No. 216
Crystal system: cubic
Raw formation energy (eV/atom): 0.22

***

No. 12
VASP calculation (PBE-GGA) on a relaxed Sr3Si8Rh3 crystal.

Unit cell a=4.2529 b=8.0474 c=8.0474 alpha=74.95 beta=74.68 gamma=74.68
Closest atoms and distances in Å follow each position.
Sites, in units of the cell vectors:
Rh1 0.5000 0.0000 0.0000  4 Si 2.55
Rh2 0.0000 0.2298 0.7702  6 Si 2.40-2.59
Sr1 0.1852 0.8148 0.8148  8 Si 3.08, 4 Rh 3.08-3.17
Si1 0.3786 0.3346 0.9083  3 Rh 2.55-2.59, 3 Si 2.64-2.65
Si2 0.6214 0.6654 0.0917  3 Rh 2.55-2.59, 3 Si 2.64-2.65
Si3 0.6214 0.0917 0.6654  3 Rh 2.55-2.59, 3 Si 2.64-2.65
Si4 0.8323 0.8047 0.5306  1 Rh 2.40, 4 Si 2.64-2.68
Sr2 0.5000 0.5000 0.5000  12 Si 3.17-3.23, 4 Rh 3.39
Si5 0.1677 0.4694 0.1953  1 Rh 2.40, 4 Si 2.64-2.68
Rh3 0.0000 0.7702 0.2298  6 Si 2.40-2.59
Si6 0.8323 0.5306 0.8047  1 Rh 2.40, 4 Si 2.64-2.68
Si7 0.1677 0.1953 0.4694  1 Rh 2.40, 4 Si 2.64-2.68
Sr3 0.8148 0.1852 0.1852  8 Si 3.08, 4 Rh 3.08-3.17
Si8 0.3786 0.9083 0.3346  3 Rh 2.55-2.59, 3 Si 2.64-2.65

Computed properties:
Magnetic moment (μB per formula unit): 0.00
Calculated total energy (eV/atom): -5.474
Space-group type: No. 71
Crystal system: orthorhombic
Raw formation energy (eV/atom): -0.44

***

Please write out number 7 again, unchanged.
VASP calculation (PBE-GGA) on a relaxed SrSiRh2 crystal.

Unit cell a=4.4230 b=4.4230 c=3.5313 alpha=90.00 beta=90.00 gamma=90.00
Closest atoms and distances in Å follow each position.
Sites, in units of the cell vectors:
Sr1 0.0000 0.5000 0.5000  8 Rh 2.83, 4 Si 3.13
Si1 0.5000 0.0000 0.5000  8 Rh 2.83, 4 Sr 3.13
Rh1 0.0000 0.0000 0.0000  4 Si 2.83, 4 Sr 2.83, 4 Rh 3.13
Rh2 0.5000 0.5000 0.0000  4 Sr 2.83, 4 Si 2.83, 4 Rh 3.13

Computed properties:
Magnetic moment (μB per formula unit): 0.00
Calculated total energy (eV/atom): -5.577
Space-group type: No. 123
Crystal system: tetragonal
Raw formation energy (eV/atom): -0.13